First-principles (meta-GGA SCAN) data for CdAgSe3 at its PBEsol-relaxed geometry, as listed in Alexandria via LeMat-Bulk.

abc: 5.1246 5.1246 5.1246
angles: 90.00 90.00 90.00
Last column: nearest neighbours and their distance in Å.
Sites, in units of the cell vectors:
Cd1 0.0000 0.0000 0.0000  6 Se 2.56
Ag1 0.5000 0.5000 0.5000  12 Se 3.62
Se1 0.0000 0.0000 0.5000  2 Cd 2.56
Se2 0.0000 0.5000 0.0000  2 Cd 2.56
Se3 0.5000 0.0000 0.0000  2 Cd 2.56

Summary:
* N(E_F): 5.7 states/eV per cell
* E_form (uncorrected): 0.636 eV per atom
* total magnetic moment: 0.0 Bohr magnetons per cell